Record 1
VASP calculation (GGA-PBEsol) on a geometry-optimized CdPb2Cl structure.

The structure in POSCAR format:
```
CdPb2Cl
1.0
3.365 0.000 0.000
0.000 5.500 0.084
0.000 -0.093 5.500
Pb Cd Cl
2 1 1
direct
0.000 0.000 0.500
0.000 0.500 0.000
0.500 0.000 0.000
0.500 0.500 0.500
```

ΔE_f (raw) = -209.4 meV/atom

=====

Record 2
VASP calculation (GGA-PBEsol) on a geometry-optimized Cd2PdCl structure.

The structure in POSCAR format:
```
Cd2PdCl
1.0
-0.846 2.954 3.656
-1.531 -1.744 4.175
2.901 -0.004 3.794
Cd Pd Cl
2 1 1
direct
0.250 0.250 0.250
0.750 0.750 0.750
0.500 0.500 0.500
0.000 0.000 0.000
```

ΔE_f (raw) = 39.7 meV/atom

=====

Record 3
VASP calculation (GGA-PBEsol) on a geometry-optimized CdPdCl3 structure.

The structure in POSCAR format:
```
CdPdCl3
1.0
5.035 0.000 0.000
0.000 5.035 0.000
0.000 0.000 5.035
Cl Cd Pd
3 1 1
direct
0.500 0.000 0.000
0.000 0.500 0.000
0.000 0.000 0.500
0.000 0.000 0.000
0.500 0.500 0.500
```

ΔE_f (raw) = -23.9 meV/atom

=====

Record 4
VASP calculation (GGA-PBEsol) on a geometry-optimized CdPt2Cl structure.

The structure in POSCAR format:
```
CdPt2Cl
1.0
-1.708 -2.297 0.336
3.249 -2.340 0.513
-0.193 0.965 5.619
Pt Cd Cl
2 1 1
direct
0.000 0.000 0.754
0.000 0.000 0.246
0.500 0.500 0.000
0.500 0.500 0.500
```

ΔE_f (raw) = 229.5 meV/atom
relative energy among the computed polymorphs = 130.2 meV/atom

=====

Record 5
VASP calculation (GGA-PBEsol) on a geometry-optimized CdPt3Cl structure.

The structure in POSCAR format:
```
CdPt3Cl
1.0
-3.234 3.101 0.582
-0.254 -1.087 4.378
3.145 3.101 0.952
Pt Cd Cl
3 1 1
direct
0.500 0.000 0.000
0.000 0.000 0.500
0.000 0.500 0.000
0.500 0.500 0.500
0.000 0.000 0.000
```

ΔE_f (raw) = 861.2 meV/atom

=====

Record 6
VASP calculation (GGA-PBEsol) on a geometry-optimized Cd2PtCl structure.

The structure in POSCAR format:
```
Cd2PtCl
1.0
3.256 0.000 0.000
1.628 5.245 0.173
1.628 1.339 5.074
Pt Cd Cl
1 2 1
direct
0.000 0.500 0.500
0.249 0.751 0.751
0.751 0.249 0.249
0.500 0.000 0.000
```

ΔE_f (raw) = 11.5 meV/atom
relative energy among the computed polymorphs = 143.9 meV/atom

=====

Record 7
VASP calculation (GGA-PBEsol) on a geometry-optimized CdPt2Cl structure.

The structure in POSCAR format:
```
CdPt2Cl
1.0
-2.232 -1.850 0.736
1.255 -2.907 -3.498
2.879 -2.301 2.945
Cd Cl Pt
1 1 2
direct
0.500 0.500 0.500
0.500 0.000 0.000
0.000 0.500 0.000
0.000 0.000 0.500
```

ΔE_f (raw) = 406.6 meV/atom
relative energy among the computed polymorphs = 307.2 meV/atom

=====

Record 8
VASP calculation (GGA-PBEsol) on a geometry-optimized Cd2PtCl structure.

The structure in POSCAR format:
```
Cd2PtCl
1.0
3.855 0.000 0.000
0.000 3.855 0.000
0.000 0.000 5.630
Cl Cd Pt
1 2 1
direct
0.000 0.000 0.376
0.000 0.000 0.876
0.500 0.500 0.374
0.500 0.500 0.875
```

ΔE_f (raw) = -132.4 meV/atom
relative energy among the computed polymorphs = 0.0 meV/atom

=====

| no. | calculated volume (Å³ per atom) | raw total energy (eV/atom) |
| --- | --- | --- |
| 1 | 25.5 | -3.010 |
| 2 | 19.3 | -2.550 |
| 3 | 25.5 | -2.660 |
| 4 | 16.6 | -4.053 |
| 5 | 18.4 | -3.958 |
| 6 | 21.5 | -2.830 |
| 7 | 16.6 | -3.876 |
| 8 | 20.9 | -2.974 |